No. 1
A plane-wave DFT calculation with GGA-PBE was carried out for a relaxed Na2LaAuO crystal.

Cell lengths 4.7576, 4.7576, 4.7652 Å; angles 90.00, 90.00, 90.00 degrees
Last column: nearest neighbours and their distance in Å.
Element x y z (fractional)
1 Na 0.0000 0.5000 0.0000  2 O 2.38
2 Na 0.5000 0.0000 0.0000  2 O 2.38
3 Au 0.5000 0.5000 0.5000  4 La 3.36, 8 Na 3.37
4 O 0.0000 0.0000 0.0000  4 Na 2.38, 2 La 2.38
5 La 0.0000 0.0000 0.5000  2 O 2.38

Properties
SG = P4/mmm (123)


No. 2
A plane-wave DFT calculation with GGA-PBE was carried out for a relaxed NaLaPbAu crystal.

Cell lengths 5.3556, 5.3556, 5.3556 Å; angles 60.00, 60.00, 60.00 degrees
Last column: nearest neighbours and their distance in Å.
Element x y z (fractional)
1 Pb 0.5000 0.5000 0.5000  4 Na 3.28, 4 La 3.28
2 Na 0.2500 0.2500 0.2500  4 Pb 3.28, 4 Au 3.28
3 Au 0.0000 0.0000 0.0000  4 La 3.28, 4 Na 3.28
4 La 0.7500 0.7500 0.7500  4 Au 3.28, 4 Pb 3.28

Properties
SG = F-43m (216)
formation energy from the elements = -0.4766 eV per atom


No. 3
A plane-wave DFT calculation with GGA-PBE was carried out for a relaxed NaLaPdAu crystal.

Cell lengths 5.1086, 5.1086, 5.1086 Å; angles 60.00, 60.00, 60.00 degrees
Last column: nearest neighbours and their distance in Å.
Element x y z (fractional)
1 Na 0.2500 0.2500 0.2500  4 Au 3.13, 4 Pd 3.13
2 Au 0.0000 0.0000 0.0000  4 La 3.13, 4 Na 3.13
3 Pd 0.5000 0.5000 0.5000  4 Na 3.13, 4 La 3.13
4 La 0.7500 0.7500 0.7500  4 Pd 3.13, 4 Au 3.13

Properties
SG = F-43m (216)
formation energy from the elements = -0.5446 eV per atom


No. 4
A plane-wave DFT calculation with GGA-PBE was carried out for a relaxed NaLaPtAu crystal.

Cell lengths 5.0803, 5.0803, 5.0803 Å; angles 60.00, 60.00, 60.00 degrees
Last column: nearest neighbours and their distance in Å.
Element x y z (fractional)
1 Na 0.5000 0.5000 0.5000  4 Pt 3.11, 4 Au 3.11
2 Au 0.2500 0.2500 0.2500  4 La 3.11, 4 Na 3.11
3 Pt 0.7500 0.7500 0.7500  4 La 3.11, 4 Na 3.11
4 La 0.0000 0.0000 0.0000  4 Pt 3.11, 4 Au 3.11

Properties
SG = F-43m (216)
formation energy from the elements = -0.6641 eV per atom


Calculated values (eV per cell) of final energy for the records, taken in order: -21.64 -15.14 -16.90 -18.22.